# KCdO2, optimized geometry, DFT GGA-PBE
# - Crystal system: trigonal
# - Formation energy without anion corrections: -14.28 kcal/mol of atoms
# - N(E_F): 10.33 states/eV/cell
# - Final energy: -3.601 eV per atom
data_KCdO2
_chemical_formula_sum 'K3 Cd3 O6'
_symmetry_space_group_name_H-M 'R -3 m'
_symmetry_Int_Tables_number 166
_symmetry_space_group_name_Hall '-R 3 2"'
_cell_length_a 3.4338
_cell_length_b 3.4338
_cell_length_c 21.0566
_cell_angle_alpha 90.00
_cell_angle_beta 90.00
_cell_angle_gamma 120.00
loop_
_atom_site_label
_atom_site_type_symbol
_atom_site_fract_x
_atom_site_fract_y
_atom_site_fract_z
K1 K 0.0000 0.0000 0.0000
Cd1 Cd 0.0000 0.0000 0.5000
O1 O 0.0000 0.0000 0.1126

***

# BaZrO2, optimized geometry, DFT GGA-PBE
# - Crystal system: cubic
# - Formation energy without anion corrections: -33.39 kcal/mol of atoms
# - Offset from the most stable computed form: 796 meV/atom
# - N(E_F): 8.91 states/eV/cell
# - Final energy: -6.545 eV per atom
data_BaZrO2
_chemical_formula_sum 'Ba4 Zr4 O8'
_symmetry_space_group_name_H-M 'F m -3 m'
_symmetry_Int_Tables_number 225
_symmetry_space_group_name_Hall '-F 4 2 3'
_cell_length_a 6.223
_cell_length_b 6.223
_cell_length_c 6.223
_cell_angle_alpha 90.00
_cell_angle_beta 90.00
_cell_angle_gamma 90.00
loop_
_atom_site_label
_atom_site_type_symbol
_atom_site_fract_x
_atom_site_fract_y
_atom_site_fract_z
Ba1 Ba 0.000 0.000 0.000
Zr1 Zr 0.000 0.000 0.500
O1 O 0.250 0.250 0.250

***

# ErTlGeBr6, optimized geometry, DFT GGA-PBE
# - Crystal system: trigonal
# - Formation energy without anion corrections: -28.26 kcal/mol of atoms
# - N(E_F): 0.00 states/eV/cell
# - Final energy: -3.623 eV per atom
data_ErTlGeBr6
_chemical_formula_sum 'Er1 Tl1 Ge1 Br6'
_symmetry_space_group_name_H-M 'P 3 1 2'
_symmetry_Int_Tables_number 149
_cell_length_a 7.2877
_cell_length_b 7.2877
_cell_length_c 7.2900
_cell_angle_alpha 90.00
_cell_angle_beta 90.00
_cell_angle_gamma 120.00
loop_
_symmetry_equiv_pos_as_xyz
'x,y,z'
'-y,x-y,z'
'-x+y,-x,z'
'-y,-x,-z'
'-x+y,y,-z'
'x,x-y,-z'
loop_
_atom_site_label
_atom_site_type_symbol
_atom_site_fract_x
_atom_site_fract_y
_atom_site_fract_z
Er1 Er 0.0000 0.0000 0.0000
Tl1 Tl 0.3333 0.6667 0.5000
Ge1 Ge 0.6667 0.3333 0.0000
Br1 Br 0.3289 0.0335 0.2201

***

# CaSb2H2, optimized geometry, DFT GGA-PBE
# - Crystal system: tetragonal
# - Offset from the most stable computed form: 530 meV/atom
# - N(E_F): 1.63 states/eV/cell
# - Final energy: -3.191 eV per atom
data_CaSb2H2
_chemical_formula_sum 'Ca2 Sb4 H4'
_symmetry_space_group_name_H-M 'I 4/m m m'
_symmetry_Int_Tables_number 139
_symmetry_space_group_name_Hall '-I 4 2'
_cell_length_a 4.299
_cell_length_b 4.299
_cell_length_c 10.151
_cell_angle_alpha 90.00
_cell_angle_beta 90.00
_cell_angle_gamma 90.00
loop_
_atom_site_label
_atom_site_type_symbol
_atom_site_fract_x
_atom_site_fract_y
_atom_site_fract_z
Ca1 Ca 0.000 0.000 0.000
Sb1 Sb 0.000 0.000 0.356
H1 H 0.000 0.500 0.250

***

# CaTc2Br, optimized geometry, DFT GGA-PBE
# - Crystal system: cubic
# - Formation energy without anion corrections: 27.87 kcal/mol of atoms
# - Offset from the most stable computed form: 1270 meV/atom
# - N(E_F): 18.59 states/eV/cell
# - Final energy: -4.893 eV per atom
data_CaTc2Br
_chemical_formula_sum 'Ca4 Tc8 Br4'
_symmetry_space_group_name_H-M 'F m -3 m'
_symmetry_Int_Tables_number 225
_symmetry_space_group_name_Hall '-F 4 2 3'
_cell_length_a 6.541
_cell_length_b 6.541
_cell_length_c 6.541
_cell_angle_alpha 90.00
_cell_angle_beta 90.00
_cell_angle_gamma 90.00
loop_
_atom_site_label
_atom_site_type_symbol
_atom_site_fract_x
_atom_site_fract_y
_atom_site_fract_z
Ca1 Ca 0.000 0.000 0.000
Tc1 Tc 0.250 0.250 0.250
Br1 Br 0.000 0.000 0.500

***

Total magnetization for the records above, in order: 3.0; 0.0; 0.0; 0.0; 0.0 μB/cell